This record from OQMD via LeMat-Bulk describes a geometry-optimized Pm2BiAs structure. The functional is PBE-GGA.

Cell: 4.4070 4.4070 6.2391 Å, 90.00 90.00 90.00°
Positions (direct):
As1 0.0000 0.0000 0.0000
Bi1 0.5000 0.5000 0.5000
Pm1 0.5000 0.5000 0.0000
Pm2 0.0000 0.0000 0.5000


This record from OQMD via LeMat-Bulk describes a geometry-optimized Pm4Bi2As structure. The functional is PBE-GGA.

Cell: 7.7183 7.7183 4.3988 Å, 90.00 90.00 108.71°
Each line ends with the local moment (μB).
Positions (direct):
As1 0.0000 0.0000 0.0000  -0.01
Bi1 0.5000 0.0000 0.5000  0.00
Bi2 0.0000 0.5000 0.5000  0.00
Pm1 0.7639 0.2361 0.0000  0.03
Pm2 0.2361 0.7639 0.0000  0.03
Pm3 0.7758 0.7758 0.4999  0.10
Pm4 0.2242 0.2242 0.5001  0.10


This record from OQMD via LeMat-Bulk describes a geometry-optimized Pr3Bi2As structure. The functional is PBE-GGA.

Cell: 4.4828 4.4828 11.2175 Å, 90.00 90.00 120.00°
Positions (direct):
As1 0.0000 0.0000 0.5000
Bi1 0.6667 0.3333 0.1744
Bi2 0.3333 0.6667 0.8256
Pr1 0.0000 0.0000 0.0000
Pr2 0.3333 0.6667 0.3517
Pr3 0.6667 0.3333 0.6483


This record from OQMD via LeMat-Bulk describes a geometry-optimized PrBiAs structure. The functional is PBE-GGA.

Cell: 5.1881 5.1881 5.1881 Å, 60.00 60.00 60.00°
Positions (direct):
As1 0.2500 0.2500 0.2500
Bi1 0.0000 0.0000 0.0000
Pr1 0.7500 0.7500 0.7500


This record from OQMD via LeMat-Bulk describes a geometry-optimized Pr3BiAs2 structure. The functional is PBE-GGA.

Cell: 4.3766 4.3766 10.9485 Å, 90.00 90.00 120.00°
Positions (direct):
As1 0.6667 0.3333 0.1588
As2 0.3333 0.6667 0.8412
Bi1 0.0000 0.0000 0.5000
Pr1 0.0000 0.0000 0.0000
Pr2 0.3333 0.6667 0.3134
Pr3 0.6667 0.3333 0.6866


This record from OQMD via LeMat-Bulk describes a geometry-optimized Pr2Sc2BiAs structure. The functional is PBE-GGA.

Cell: 8.8058 8.8058 8.8058 Å, 150.93 150.93 41.58°
Each line ends with the local moment (μB).
Positions (direct):
As1 0.1216 0.1216 0.0000  -0.01
Bi1 0.8753 0.8753 0.0000  -0.01
Pr1 0.3148 0.3148 0.0000  -0.01
Pr2 0.6702 0.6702 0.0000  0.00
Sc1 0.5090 0.0090 0.5000  0.22
Sc2 0.0090 0.5090 0.5000  0.20


Number 1: energy -5.71 eV per atom. Number 2: energy -5.37 eV per atom. Number 3: energy -5.64 eV per atom. Number 4: energy -4.64 eV per atom. Number 5: energy -5.92 eV per atom. Number 6: energy -5.98 eV per atom.